VASP calculation (PBE+U) on a geometry-optimized CdFePb2O4 structure.

## Properties
As for the symmetry: No. 74. The calculation puts the calculated volume at 15.09 Å³/atom. The calculation puts the uncorrected energy at -5.20 eV per atom.

Cell: 6.9535 6.9535 6.9535 Å, 119.33 118.52 91.88°
Positions (direct):
Cd 0.5000 0.0000 0.0000
Cd 0.5000 0.5000 0.5000
Fe 0.0000 0.0000 0.0000
Fe 0.5000 0.0000 0.5000
Pb 0.0000 0.0000 0.5000
Pb 0.0000 0.5000 0.0000
Pb 0.0000 0.5000 0.5000
Pb 0.5000 0.5000 0.0000
O 0.2355 0.2215 0.0140
O 0.2601 0.2378 0.4777
O 0.2601 0.7824 0.0223
O 0.2926 0.7785 0.5140
O 0.7074 0.2215 0.4860
O 0.7399 0.2176 0.9777
O 0.7399 0.7622 0.5223
O 0.7645 0.7785 0.9860


VASP calculation (PBE+U) on a geometry-optimized PuCdFeO6 structure.

## Properties
As for the symmetry: No. 163. The calculation puts the calculated volume at 13.35 Å³/atom. The calculation puts the uncorrected energy at -7.25 eV per atom.

Cell: 5.3320 5.3320 9.7631 Å, 90.00 90.00 120.00°
Positions (direct):
Pu 0.3333 0.6667 0.2500
Pu 0.6667 0.3333 0.7500
Cd 0.0000 0.0000 0.0000
Cd 0.0000 0.0000 0.5000
Fe 0.3333 0.6667 0.7500
Fe 0.6667 0.3333 0.2500
O 0.0042 0.3596 0.1391
O 0.0042 0.6446 0.3609
O 0.3554 0.3596 0.3609
O 0.3554 0.9958 0.1391
O 0.3596 0.0042 0.6391
O 0.3596 0.3554 0.8609
O 0.6404 0.6446 0.1391
O 0.6404 0.9958 0.3609
O 0.6446 0.0042 0.8609
O 0.6446 0.6404 0.6391
O 0.9958 0.3554 0.6391
O 0.9958 0.6404 0.8609